! HfSiPt, optimized geometry, DFT PBE; values from VASP
! * space group: Pnma, No. 62
! * formation energy from raw total energies: -107.6 kJ per mole of atoms
! * total magnetization: 0.0 Bohr magnetons per cell
! * energy: -8.25 eV/atom
! * V: 195 Å³/cell
&SYSTEM
  ibrav = 0, nat = 12, ntyp = 3
/
ATOMIC_SPECIES
Hf 178.49 Hf.upf
Si 28.09 Si.upf
Pt 195.08 Pt.upf
CELL_PARAMETERS angstrom
-0.6583 3.0079 2.3995
1.3411 -3.8428 5.1851
7.3007 1.9508 -0.4426
ATOMIC_POSITIONS angstrom
Hf 5.4834 0.0529 3.0256
Si 6.9038 1.1251 5.2465
Si 1.0797 -0.0093 1.8955
Pt 6.8056 2.7187 3.2219
Si 4.3732 2.5495 2.7667
Si 3.6103 -1.4337 4.3753
Hf 5.8778 2.2589 0.3685
Hf 2.1057 -1.1431 6.7735
Hf 2.5002 1.0629 4.1164
Pt 4.7783 0.0764 5.9780
Pt 3.2052 1.0394 1.1640
Pt 1.1779 -1.6029 3.9201

=====

! Hf2SiPt, optimized geometry, DFT PBE; values from VASP
! * space group: I-42d, No. 122
! * formation energy from raw total energies: -36.3 kJ per mole of atoms
! * total magnetization: 0.0 Bohr magnetons per cell
! * energy: -8.22 eV/atom
! * V: 157 Å³/cell
&SYSTEM
  ibrav = 0, nat = 8, ntyp = 3
/
ATOMIC_SPECIES
Hf 178.49 Hf.upf
Pt 195.08 Pt.upf
Si 28.09 Si.upf
CELL_PARAMETERS angstrom
-0.0412 7.1396 1.3791
-7.0637 0.2882 -1.7027
-4.2556 3.1643 2.6623
ATOMIC_POSITIONS angstrom
Hf -1.9728 5.3224 1.3211
Pt 0.0000 0.0000 0.0000
Si -7.4359 3.5832 0.3989
Pt -3.9246 7.0089 1.9398
Si -3.5524 3.7139 -0.1618
Hf -5.4837 1.8305 -0.2326
Hf -9.4412 8.8739 1.7057
Hf -5.8233 5.1573 1.8832

=====

! Hf3SiPt, optimized geometry, DFT PBE; values from VASP
! * space group: Pm-3m, No. 221
! * formation energy from raw total energies: 16.5 kJ per mole of atoms
! * excess energy over the best structure of this formula in the dataset: 0 meV per atom
! * total magnetization: 0.0 Bohr magnetons per cell
! * energy: -8.09 eV/atom
! * V: 110 Å³/cell
&SYSTEM
  ibrav = 0, nat = 5, ntyp = 3
/
ATOMIC_SPECIES
Pt 195.08 Pt.upf
Si 28.09 Si.upf
Hf 178.49 Hf.upf
CELL_PARAMETERS angstrom
4.7905 0.0000 0.0000
0.0000 4.7905 0.0000
0.0000 0.0000 4.7905
ATOMIC_POSITIONS angstrom
Pt 2.3953 2.3953 2.3953
Si 0.0000 0.0000 0.0000
Hf 2.3953 0.0000 0.0000
Hf 0.0000 2.3953 0.0000
Hf 0.0000 0.0000 2.3953

=====

! HfSiPt, optimized geometry, DFT PBE; values from VASP
! * space group: P4/nmm, No. 129
! * formation energy from raw total energies: -88.6 kJ per mole of atoms
! * total magnetization: 0.0 Bohr magnetons per cell
! * energy: -8.06 eV/atom
! * V: 100 Å³/cell
&SYSTEM
  ibrav = 0, nat = 6, ntyp = 3
/
ATOMIC_SPECIES
Pt 195.08 Pt.upf
Si 28.09 Si.upf
Hf 178.49 Hf.upf
CELL_PARAMETERS angstrom
-2.9226 -2.4795 0.6533
1.9969 -1.5795 2.9383
-2.7449 4.3420 4.1996
ATOMIC_POSITIONS angstrom
Pt -1.8353 0.1415 3.8956
Si -2.1271 -0.1865 1.3454
Hf 0.5611 -0.0980 2.1382
Hf -3.7688 2.4105 3.8571
Si -1.0806 2.4990 4.6500
Pt -1.3724 2.1710 2.0998

=====

What did the second record say?
! Hf2SiPt, optimized geometry, DFT PBE; values from VASP
! * space group: I-42d, No. 122
! * formation energy from raw total energies: -36.3 kJ per mole of atoms
! * total magnetization: 0.0 Bohr magnetons per cell
! * energy: -8.22 eV/atom
! * V: 157 Å³/cell
&SYSTEM
  ibrav = 0, nat = 8, ntyp = 3
/
ATOMIC_SPECIES
Hf 178.49 Hf.upf
Pt 195.08 Pt.upf
Si 28.09 Si.upf
CELL_PARAMETERS angstrom
-0.0412 7.1396 1.3791
-7.0637 0.2882 -1.7027
-4.2556 3.1643 2.6623
ATOMIC_POSITIONS angstrom
Hf -1.9728 5.3224 1.3211
Pt 0.0000 0.0000 0.0000
Si -7.4359 3.5832 0.3989
Pt -3.9246 7.0089 1.9398
Si -3.5524 3.7139 -0.1618
Hf -5.4837 1.8305 -0.2326
Hf -9.4412 8.8739 1.7057
Hf -5.8233 5.1573 1.8832

=====

Please write out number 1 again, unchanged.
! HfSiPt, optimized geometry, DFT PBE; values from VASP
! * space group: Pnma, No. 62
! * formation energy from raw total energies: -107.6 kJ per mole of atoms
! * total magnetization: 0.0 Bohr magnetons per cell
! * energy: -8.25 eV/atom
! * V: 195 Å³/cell
&SYSTEM
  ibrav = 0, nat = 12, ntyp = 3
/
ATOMIC_SPECIES
Hf 178.49 Hf.upf
Si 28.09 Si.upf
Pt 195.08 Pt.upf
CELL_PARAMETERS angstrom
-0.6583 3.0079 2.3995
1.3411 -3.8428 5.1851
7.3007 1.9508 -0.4426
ATOMIC_POSITIONS angstrom
Hf 5.4834 0.0529 3.0256
Si 6.9038 1.1251 5.2465
Si 1.0797 -0.0093 1.8955
Pt 6.8056 2.7187 3.2219
Si 4.3732 2.5495 2.7667
Si 3.6103 -1.4337 4.3753
Hf 5.8778 2.2589 0.3685
Hf 2.1057 -1.1431 6.7735
Hf 2.5002 1.0629 4.1164
Pt 4.7783 0.0764 5.9780
Pt 3.2052 1.0394 1.1640
Pt 1.1779 -1.6029 3.9201